First-principles (PBE) data for crystalline RbGaPb at its relaxed geometry, as listed in the Alexandria database.

Energy of formation from the pure elements, eV per atom: -0.13
Raw total energy, eV per formula unit: -8.1
Space group: P1, No. 1

Cell: 7.4893 4.7188 7.4940 Å, 103.49 107.16 103.20°
Last column: nearest neighbours and their distance in Å.
Fractional positions:
Ga 0.6768 0.9784 0.2593  2 Ga 2.57, 1 Pb 2.88
Ga 0.5921 0.4797 0.3456  2 Ga 2.57, 1 Pb 2.88
Rb 0.1232 0.7876 0.1410  3 Pb 3.67-4.04, 3 Ga 3.81-3.94
Rb 0.4756 0.2855 0.7896  3 Pb 3.67-4.05, 3 Ga 3.82-3.93
Pb 0.8595 0.9802 0.6948  2 Ga 2.88-3.14, 2 Pb 3.14
Pb 0.0286 0.4773 0.5214  2 Ga 2.88-3.15, 2 Pb 3.14